1.
The following is a GGA-PBE calculation of an optimized crystal structure of Ba2TaGeS6, from the Open Quantum Materials Database.

Space-group type   Fm-3m (225)
Total magnetic moment   0.00 μB/atom
E   -56.6 eV for the cell shown

Cell: 6.9702 6.9702 6.9702 Å, 60.00 60.00 60.00°
Closest atoms and distances in Å follow each position.
Atoms (fractional coordinates):
Ba 0.2500 0.2500 0.2500  12 S 3.49
Ba 0.7500 0.7500 0.7500  12 S 3.49
Ta 0.0000 0.0000 0.0000  6 S 2.44
Ge 0.5000 0.5000 0.5000  6 S 2.49
S 0.2475 0.2475 0.7525  1 Ta 2.44, 1 Ge 2.49
S 0.2475 0.7525 0.2475  1 Ta 2.44, 1 Ge 2.49
S 0.2475 0.7525 0.7525  1 Ta 2.44, 1 Ge 2.49
S 0.7525 0.2475 0.2475  1 Ta 2.44, 1 Ge 2.49
S 0.7525 0.2475 0.7525  1 Ta 2.44, 1 Ge 2.49
S 0.7525 0.7525 0.2475  1 Ta 2.44, 1 Ge 2.49



2.
The following is a GGA-PBE calculation of an optimized crystal structure of BaNaTbSe3, from the Open Quantum Materials Database.

Space-group type   Cmcm (63)
Total magnetic moment   0.00 μB/atom
E   -56.8 eV for the cell shown
Polymorph energy (0 for the lowest one)   0.2 kJ/mol of atoms

Cell: 7.4660 7.4660 10.8989 Å, 90.00 90.00 145.59°
Closest atoms and distances in Å follow each position.
Atoms (fractional coordinates):
Ba 0.2472 0.7528 0.7500  8 Se 3.26-3.60
Ba 0.7528 0.2472 0.2500  8 Se 3.26-3.60
Na 0.0276 0.9724 0.2500  4 Se 2.68-2.70
Na 0.9724 0.0276 0.7500  4 Se 2.68-2.70
Tb 0.5000 0.5000 0.0000  6 Se 2.95-2.97
Tb 0.5000 0.5000 0.5000  6 Se 2.95-2.97
Se 0.1347 0.8653 0.0458  1 Na 2.70, 2 Tb 2.97
Se 0.1347 0.8653 0.4542  1 Na 2.70, 2 Tb 2.97
Se 0.4211 0.5789 0.2500  2 Na 2.68, 2 Tb 2.95
Se 0.5789 0.4211 0.7500  2 Na 2.68, 2 Tb 2.95
Se 0.8653 0.1347 0.5458  1 Na 2.70, 2 Tb 2.97
Se 0.8653 0.1347 0.9542  1 Na 2.70, 2 Tb 2.97



3.
The following is a GGA-PBE calculation of an optimized crystal structure of Bi10IrS10, from the Open Quantum Materials Database.

Space-group type   Pbam (55)
Total magnetic moment   0.00 μB/atom
E   -185.8 eV for the cell shown

Cell: 10.7482 12.8629 8.5799 Å, 90.00 90.00 90.00°
Closest atoms and distances in Å follow each position.
Atoms (fractional coordinates):
Bi 0.0000 0.0000 0.2310  6 S 2.74-2.97
Bi 0.0000 0.0000 0.7690  6 S 2.74-2.97
Bi 0.1395 0.4075 0.2272  1 Ir 2.73, 3 S 2.84-3.03
Bi 0.1395 0.4075 0.7728  1 Ir 2.73, 3 S 2.84-3.03
Bi 0.1457 0.6746 0.0000  1 Ir 2.74, 2 S 2.75
Bi 0.2470 0.1777 0.5000  4 S 2.61-2.80
Bi 0.2530 0.6777 0.5000  4 S 2.61-2.80
Bi 0.3543 0.1746 0.0000  1 Ir 2.74, 2 S 2.75
Bi 0.3605 0.9075 0.2272  1 Ir 2.73, 3 S 2.84-3.03
Bi 0.3605 0.9075 0.7728  1 Ir 2.73, 3 S 2.84-3.03
Bi 0.5000 0.5000 0.2310  6 S 2.74-2.97
Bi 0.5000 0.5000 0.7690  6 S 2.74-2.97
Bi 0.6395 0.0925 0.2272  1 Ir 2.73, 3 S 2.84-3.03
Bi 0.6395 0.0925 0.7728  1 Ir 2.73, 3 S 2.84-3.03
Bi 0.6457 0.8254 0.0000  1 Ir 2.74, 2 S 2.75
Bi 0.7470 0.3223 0.5000  4 S 2.61-2.80
Bi 0.7530 0.8223 0.5000  4 S 2.61-2.80
Bi 0.8543 0.3254 0.0000  1 Ir 2.74, 2 S 2.75
Bi 0.8605 0.5925 0.2272  1 Ir 2.73, 3 S 2.84-3.03
Bi 0.8605 0.5925 0.7728  1 Ir 2.73, 3 S 2.84-3.03
Ir 0.0000 0.5000 0.0000  6 Bi 2.73-2.74
Ir 0.5000 0.0000 0.0000  6 Bi 2.73-2.74
S 0.0041 0.6480 0.5000  3 Bi 2.70-2.89
S 0.1450 0.9173 0.0000  4 Bi 2.74-3.03
S 0.1529 0.1882 0.1958  4 Bi 2.75-2.94
S 0.1529 0.1882 0.8042  4 Bi 2.75-2.94
S 0.1724 0.9846 0.5000  1 Bi 2.61
S 0.3276 0.4846 0.5000  1 Bi 2.61
S 0.3471 0.6882 0.1958  4 Bi 2.75-2.94
S 0.3471 0.6882 0.8042  4 Bi 2.75-2.94
S 0.3550 0.4173 0.0000  4 Bi 2.74-3.03
S 0.4959 0.1480 0.5000  3 Bi 2.70-2.89
S 0.5041 0.8520 0.5000  3 Bi 2.70-2.89
S 0.6450 0.5827 0.0000  4 Bi 2.74-3.03
S 0.6529 0.3118 0.1958  4 Bi 2.75-2.94
S 0.6529 0.3118 0.8042  4 Bi 2.75-2.94
S 0.6724 0.5154 0.5000  1 Bi 2.61
S 0.8276 0.0154 0.5000  1 Bi 2.61
S 0.8471 0.8118 0.1958  4 Bi 2.75-2.94
S 0.8471 0.8118 0.8042  4 Bi 2.75-2.94
S 0.8550 0.0827 0.0000  4 Bi 2.74-3.03
S 0.9959 0.3520 0.5000  3 Bi 2.70-2.89



4.
The following is a GGA-PBE calculation of an optimized crystal structure of KNiSbTe3, from the Open Quantum Materials Database.

Space-group type   Cmcm (63)
Total magnetic moment   0.00 μB/atom
E   -44.1 eV for the cell shown

Cell: 7.1944 7.1944 12.2512 Å, 90.00 90.00 143.76°
Closest atoms and distances in Å follow each position.
Atoms (fractional coordinates):
K 0.2138 0.7862 0.7500  2 Ni 3.53, 9 Te 3.73-3.85
K 0.7862 0.2138 0.2500  2 Ni 3.53, 9 Te 3.73-3.85
Ni 0.0867 0.9133 0.2500  4 Te 2.51-2.54
Ni 0.9133 0.0867 0.7500  4 Te 2.51-2.54
Sb 0.5000 0.5000 0.0000  6 Te 3.06-3.07
Sb 0.5000 0.5000 0.5000  6 Te 3.06-3.07
Te 0.1458 0.8542 0.0539  1 Ni 2.54
Te 0.1458 0.8542 0.4461  1 Ni 2.54
Te 0.4957 0.5043 0.7500  2 Ni 2.51
Te 0.5043 0.4957 0.2500  2 Ni 2.51
Te 0.8542 0.1458 0.5539  1 Ni 2.54
Te 0.8542 0.1458 0.9461  1 Ni 2.54



5.
The following is a GGA-PBE calculation of an optimized crystal structure of KRb2CuBr6, from the Open Quantum Materials Database.

Space-group type   Fm-3m (225)
E   -27.0 eV for the cell shown
Polymorph energy (0 for the lowest one)   6.9 kJ/mol of atoms

Cell: 7.9029 7.9029 7.9029 Å, 60.00 60.00 60.00°
Closest atoms and distances in Å follow each position.
Atoms (fractional coordinates):
K 0.0000 0.0000 0.0000  6 Br 3.07
Rb 0.2500 0.2500 0.2500  12 Br 3.96
Rb 0.7500 0.7500 0.7500  12 Br 3.96
Cu 0.5000 0.5000 0.5000  6 Br 2.52
Br 0.2743 0.2743 0.7257  1 Cu 2.52
Br 0.2743 0.7257 0.2743  1 Cu 2.52
Br 0.2743 0.7257 0.7257  1 Cu 2.52
Br 0.7257 0.2743 0.2743  1 Cu 2.52
Br 0.7257 0.2743 0.7257  1 Cu 2.52
Br 0.7257 0.7257 0.2743  1 Cu 2.52



6.
The following is a GGA-PBE calculation of an optimized crystal structure of TbDyTeO2, from the Open Quantum Materials Database.

Space-group type   I4mm (107)
Total magnetic moment   0.00 μB/atom
E   -37.1 eV for the cell shown
Polymorph energy (0 for the lowest one)   0.0 kJ/mol of atoms

Cell: 6.8160 6.8160 6.8160 Å, 146.58 146.58 47.99°
Closest atoms and distances in Å follow each position.
Atoms (fractional coordinates):
Tb 0.0000 0.0000 0.0000  4 O 2.25
Dy 0.6762 0.6762 0.0000  4 O 2.24
Te 0.3383 0.3383 0.0000  4 Tb 3.43, 4 Dy 3.43, 8 O 3.67-3.69
O 0.0892 0.5892 0.5000  2 Dy 2.24, 2 Tb 2.25
O 0.5892 0.0892 0.5000  2 Dy 2.24, 2 Tb 2.25



7.
The following is a GGA-PBE calculation of an optimized crystal structure of Na8Zr4O11, from the Open Quantum Materials Database.

Space-group type   P1 (1)
Total magnetic moment   0.00 μB/atom
E   -153.5 eV for the cell shown

Cell: 5.6488 5.8280 9.8121 Å, 72.87 84.47 80.57°
Closest atoms and distances in Å follow each position.
Atoms (fractional coordinates):
Na 0.0000 0.0000 0.0000  6 O 2.34-2.60
Na 0.0023 0.6674 0.3278  5 O 2.29-2.54
Na 0.2428 0.4197 0.0790  6 O 2.37-2.44
Na 0.4823 0.8514 0.1586  4 O 2.34-2.55
Na 0.4906 0.1711 0.8297  6 O 2.31-2.54
Na 0.5016 0.4847 0.5039  5 O 2.34-2.50
Na 0.7401 0.9145 0.5767  5 O 2.39-2.45
Na 0.9753 0.3399 0.6583  6 O 2.34-2.61
Zr 0.2338 0.0854 0.4156  5 O 2.10-2.17
Zr 0.2402 0.7529 0.7455  6 O 2.13-2.16
Zr 0.7414 0.5897 0.9111  6 O 2.12-2.16
Zr 0.7422 0.2657 0.2421  5 O 2.12-2.14
O 0.0833 0.0564 0.2269  2 Zr 2.12-2.17, 1 Na 2.29
O 0.0929 0.4310 0.8567  2 Zr 2.13-2.14, 1 Na 2.34
O 0.1530 0.7420 0.5399  2 Zr 2.11-2.14, 1 Na 2.34
O 0.3353 0.0963 0.6140  2 Zr 2.10-2.16
O 0.3884 0.4020 0.3014  2 Zr 2.12-2.13, 2 Na 2.35-2.37
O 0.3879 0.7871 0.9303  2 Zr 2.14-2.16, 1 Na 2.31
O 0.5920 0.5554 0.7265  2 Zr 2.14-2.15, 2 Na 2.31-2.40
O 0.6463 0.2497 0.0393  2 Zr 2.13-2.14, 2 Na 2.34-2.38
O 0.8344 0.6061 0.1121  2 Zr 2.12-2.13, 1 Na 2.34
O 0.8838 0.2894 0.4291  2 Zr 2.12-2.15, 1 Na 2.31
O 0.8893 0.9136 0.7964  2 Zr 2.13-2.15, 1 Na 2.36



8.
The following is a GGA-PBE calculation of an optimized crystal structure of Ba2LiTcSe6, from the Open Quantum Materials Database.

Space-group type   I4/mmm (139)
Total magnetic moment   0.04 μB/atom
E   -46.1 eV for the cell shown

Cell: 7.1107 7.1107 7.1107 Å, 120.07 120.07 89.87°
Closest atoms and distances in Å follow each position.
Atoms (fractional coordinates):
Ba 0.2500 0.7500 0.5000  12 Se 3.55-3.56
Ba 0.7500 0.2500 0.5000  12 Se 3.55-3.56
Li 0.0000 0.0000 0.0000  6 Se 2.52
Tc 0.5000 0.5000 0.0000  6 Se 2.50-2.51
Se 0.2506 0.2506 0.0000  1 Tc 2.51, 1 Li 2.52
Se 0.2507 0.2507 0.5013  1 Tc 2.50, 1 Li 2.52
Se 0.2507 0.7493 0.0000  1 Tc 2.50, 1 Li 2.52
Se 0.7493 0.2507 0.0000  1 Tc 2.50, 1 Li 2.52
Se 0.7494 0.7494 0.0000  1 Tc 2.51, 1 Li 2.52
Se 0.7493 0.7493 0.4987  1 Tc 2.50, 1 Li 2.52



9.
The following is a GGA-PBE calculation of an optimized crystal structure of Dy3NiSn3PdPt, from the Open Quantum Materials Database.

Space-group type   P-6 (174)
Total magnetic moment   0.00 μB/atom
E   -51.0 eV for the cell shown

Cell: 7.5113 7.5113 3.9074 Å, 90.00 90.00 120.00°
Closest atoms and distances in Å follow each position.
Atoms (fractional coordinates):
Dy 0.0041 0.5979 0.0000  2 Pt 2.99, 2 Pd 3.03, 1 Ni 3.04, 6 Sn 3.26-3.30
Dy 0.4021 0.4062 0.0000  2 Pt 2.99, 2 Pd 3.03, 1 Ni 3.04, 6 Sn 3.26-3.30
Dy 0.5938 0.9959 0.0000  2 Pt 2.99, 2 Pd 3.03, 1 Ni 3.04, 6 Sn 3.26-3.30
Ni 0.0000 0.0000 0.0000  6 Sn 2.70
Sn 0.2508 0.0038 0.5000  2 Ni 2.70, 1 Pd 2.86, 1 Pt 2.89
Sn 0.7529 0.7492 0.5000  2 Ni 2.70, 1 Pd 2.86, 1 Pt 2.89
Sn 0.9962 0.2471 0.5000  2 Ni 2.70, 1 Pd 2.86, 1 Pt 2.89
Pd 0.6667 0.3333 0.5000  3 Sn 2.86, 6 Dy 3.03
Pt 0.3333 0.6667 0.5000  3 Sn 2.89, 6 Dy 2.99



10.
The following is a GGA-PBE calculation of an optimized crystal structure of ErBi, from the Open Quantum Materials Database.

Space-group type   Pmma (51)
Total magnetic moment   0.01 μB/atom
E   -37.2 eV for the cell shown

Cell: 6.3198 5.3107 7.5371 Å, 90.00 90.00 90.00°
Closest atoms and distances in Å follow each position.
Atoms (fractional coordinates):
Er 0.0000 0.0000 0.0000  2 Er 3.16, 6 Bi 3.37-3.40
Er 0.2500 0.5000 0.2382  5 Bi 2.91-3.20
Er 0.5000 0.0000 0.0000  2 Er 3.16, 6 Bi 3.37-3.40
Er 0.7500 0.5000 0.7618  5 Bi 2.91-3.20
Bi 0.2500 0.0000 0.3950  2 Er 2.91
Bi 0.2500 0.5000 0.8130  7 Er 3.18-3.40
Bi 0.7500 0.0000 0.6050  2 Er 2.91
Bi 0.7500 0.5000 0.1870  7 Er 3.18-3.40



Question: The lowest E belongs to which entry?
Answer: Bi10IrS10



Question: The highest E belongs to which entry?
Answer: KRb2CuBr6



Question: The lowest E belongs to which entry?
Answer: Bi10IrS10



Question: Which of these has the highest E?
Answer: KRb2CuBr6